(1)
DFT (PBE) results for a relaxed TlNiAs2Br crystal.

a b c (Å): 4.459 4.459 8.817
angles (deg): 90.00 90.00 90.00
Positions (direct):
1 Ni 0.000 0.000 0.000
2 Br 0.000 0.000 0.500
3 Tl 0.500 0.500 0.500
4 As 0.000 0.500 0.000
5 As 0.500 0.000 0.000

Computed properties:
E_tot (eV per atom): -3.7528
Density (g cm⁻³): 4.67
Formation energy from raw total energies (eV/atom): 0.071

(2)
DFT (PBE) results for a relaxed Cr3Fe crystal.

a b c (Å): 7.732 7.732 7.732
angles (deg): 153.62 153.62 37.65
Positions (direct):
1 Cr 0.500 0.000 0.500
2 Cr 0.000 0.500 0.500
3 Cr 0.250 0.750 0.500
4 Cr 0.122 0.122 0.000
5 Cr 0.750 0.250 0.500
6 Cr 0.878 0.878 0.000
7 Fe 0.626 0.626 0.000
8 Fe 0.374 0.374 0.000

Computed properties:
Energy relative to the elements (eV/atom): 0.238
E_tot (eV per atom): -9.0953
Density (g cm⁻³): 7.72

(3)
DFT (PBE) results for a relaxed AlOs crystal.

a b c (Å): 6.867 6.867 6.867
angles (deg): 90.00 90.00 90.00
Positions (direct):
1 Os 0.000 0.750 0.500
2 Os 0.500 0.000 0.750
3 Os 0.000 0.250 0.500
4 Os 0.250 0.500 0.000
5 Os 0.750 0.500 0.000
6 Os 0.500 0.000 0.250
7 Al 0.000 0.500 0.750
8 Al 0.500 0.750 0.000
9 Al 0.500 0.250 0.000
10 Al 0.000 0.500 0.250
11 Al 0.250 0.000 0.500
12 Al 0.750 0.000 0.500

Computed properties:
Energy relative to the elements (eV/atom): 1.542
E_tot (eV per atom): -5.9445
Density (g cm⁻³): 6.68

(4)
DFT (PBE) results for a relaxed KRe3B crystal.

a b c (Å): 4.303 4.303 4.303
angles (deg): 90.00 90.00 90.00
Positions (direct):
1 Re 0.000 0.000 0.500
2 Re 0.000 0.500 0.000
3 Re 0.500 0.000 0.000
4 K 0.500 0.500 0.500
5 B 0.000 0.000 0.000

Computed properties:
Energy relative to the elements (eV/atom): 1.340
E_tot (eV per atom): -7.6841
Density (g cm⁻³): 12.68

(5)
DFT (PBE) results for a relaxed CaTl2Os crystal.

a b c (Å): 3.411 3.411 7.711
angles (deg): 90.00 90.00 89.98
Positions (direct):
1 Os 0.500 0.500 0.750
2 Ca 0.500 0.500 0.250
3 Tl 0.000 0.000 0.539
4 Tl 0.000 0.000 0.961

Computed properties:
Energy relative to the elements (eV/atom): 0.393
E_tot (eV per atom): -4.0982
Density (g cm⁻³): 11.83

(6)
DFT (PBE) results for a relaxed Cu2IrF6 crystal.

a b c (Å): 5.828 4.777 8.828
angles (deg): 90.00 90.05 90.00
Positions (direct):
1 F 0.682 0.174 0.500
2 F 0.818 0.674 0.000
3 F 0.150 0.239 0.663
4 F 0.350 0.739 0.837
5 F 0.850 0.762 0.663
6 F 0.850 0.761 0.337
7 F 0.650 0.261 0.163
8 F 0.182 0.326 0.000
9 F 0.650 0.262 0.837
10 F 0.350 0.738 0.163
11 F 0.318 0.826 0.500
12 F 0.150 0.238 0.337
13 Cu 0.000 0.500 0.187
14 Cu 0.000 0.500 0.813
15 Cu 0.500 0.000 0.687
16 Cu 0.500 0.000 0.313
17 Ir 0.500 0.500 0.000
18 Ir 0.000 0.000 0.500

Computed properties:
E_tot (eV per atom): -4.4659
Density (g cm⁻³): 5.86
Formation energy from raw total energies (eV/atom): -1.324

In μB per cell, the M_tot values for the records above are, in order, 0.00 0.35 5.70 0.00 0.00 2.07.
In states/eV per atom, the DOS(E_F) values for the records above are, in order, 0.4417 1.3993 1.0138 1.0274 0.5666 0.5174.
In Å³/f.u., the calculated volume values for the records above are, in order, 175.3 45.5 54.0 79.7 89.7 122.9.